No. 1
Density functional theory data (SCAN) for a PBEsol-optimized structure of HgSbPb2.

Cell: 3.9654 3.9654 7.0074 Å, 90.00 90.00 90.00°
Positions (direct):
Hg  0.0000  0.0000  0.0000
Sb  0.5000  0.5000  0.7609
Pb  0.0000  0.0000  0.5355
Pb  0.5000  0.5000  0.2178

Output
- Space group: No. 99
- Total magnetic moment: 0.00 μB per cell
- Energy above the most stable polymorph in this dataset: 0.023 eV/atom
- E: -64.184 eV per atom
- ΔE_f (raw): 0.06 eV per atom

---

No. 2
Density functional theory data (SCAN) for a PBEsol-optimized structure of ScHgSbPb2.

Cell: 5.5610 5.5610 5.3477 Å, 90.00 90.00 90.00°
Positions (direct):
Sc  0.0000  0.0000  0.0000
Hg  0.5000  0.5000  0.5000
Sb  0.0000  0.0000  0.5000
Pb  0.0000  0.5000  0.0000
Pb  0.5000  0.0000  0.0000

Output
- Space group: No. 123
- Total magnetic moment: 0.00 μB per cell
- E: -54.099 eV per atom
- ΔE_f (raw): 0.15 eV per atom

---

No. 3
Density functional theory data (SCAN) for a PBEsol-optimized structure of Sc2HgPb.

Cell: 4.6214 4.6214 4.0884 Å, 90.00 90.00 90.00°
Positions (direct):
Sc  0.0000  0.5000  0.0000
Sc  0.5000  0.0000  0.0000
Hg  0.0000  0.0000  0.5000
Pb  0.5000  0.5000  0.5000

Output
- Space group: No. 123
- Total magnetic moment: 0.83 μB per cell
- Formation enthalpy at 0 K: -0.591 eV per atom
- E: -43.696 eV per atom

---

No. 4
Density functional theory data (SCAN) for a PBEsol-optimized structure of Sc2HgPb.

Cell: 3.5564 3.5564 6.9408 Å, 90.00 90.00 90.00°
Positions (direct):
Sc  0.0000  0.0000  0.2403
Sc  0.0000  0.0000  0.7597
Hg  0.5000  0.5000  0.0000
Pb  0.5000  0.5000  0.5000

Output
- Space group: No. 123
- Total magnetic moment: 0.32 μB per cell
- Formation enthalpy at 0 K: -0.567 eV per atom
- E: -43.672 eV per atom

---

No. 5
Density functional theory data (SCAN) for a PBEsol-optimized structure of ScHg2Pb.

Cell: 5.6279 5.6279 5.6279 Å, 134.40 134.40 66.46°
Positions (direct):
Sc  0.0000  0.0000  0.0000
Hg  0.2500  0.7500  0.5000
Hg  0.7500  0.2500  0.5000
Pb  0.5000  0.5000  0.0000

Output
- Space group: No. 139
- Total magnetic moment: 0.00 μB per cell
- Formation enthalpy at 0 K: -0.300 eV per atom
- E: -56.888 eV per atom

---

No. 6
Density functional theory data (SCAN) for a PBEsol-optimized structure of ScHg2Pb.

Cell: 3.5233 5.2661 5.1087 Å, 90.00 91.57 90.00°
Positions (direct):
Sc  0.0000  0.0000  0.0000
Hg  0.2371  0.5000  0.7602
Hg  0.7629  0.5000  0.2398
Pb  0.5000  0.0000  0.5000

Output
- Space group: No. 10
- Total magnetic moment: 0.00 μB per cell
- Formation enthalpy at 0 K: -0.247 eV per atom
- E: -56.834 eV per atom

---

No. 7
Density functional theory data (SCAN) for a PBEsol-optimized structure of Sc2Hg2Pb.

Cell: 8.0095 8.0095 3.5106 Å, 90.00 90.00 90.00°
Positions (direct):
Sc  0.1690  0.3310  0.0000
Sc  0.3310  0.8310  0.0000
Sc  0.6690  0.1690  0.0000
Sc  0.8310  0.6690  0.0000
Hg  0.1285  0.6285  0.5000
Hg  0.3715  0.1285  0.5000
Hg  0.6285  0.8715  0.5000
Hg  0.8715  0.3715  0.5000
Pb  0.0000  0.0000  0.5000
Pb  0.5000  0.5000  0.5000

Output
- Space group: No. 127
- Total magnetic moment: 0.00 μB per cell
- Formation enthalpy at 0 K: -0.476 eV per atom
- E: -48.594 eV per atom

---

No. 8
Density functional theory data (SCAN) for a PBEsol-optimized structure of Sc2HgPb.

Cell: 3.4101 3.4101 8.1008 Å, 90.00 90.00 90.00°
Positions (direct):
Sc  0.0000  0.0000  0.0000
Sc  0.5000  0.5000  0.2546
Hg  0.0000  0.0000  0.4639
Pb  0.5000  0.5000  0.7335

Output
- Space group: No. 99
- Total magnetic moment: 0.00 μB per cell
- Formation enthalpy at 0 K: -0.269 eV per atom
- E: -43.374 eV per atom

---

No. 9
Density functional theory data (SCAN) for a PBEsol-optimized structure of ScHg2Pb.

Cell: 4.3483 4.3483 4.6947 Å, 90.00 90.00 90.00°
Positions (direct):
Sc  0.0000  0.0000  0.0000
Hg  0.0000  0.5000  0.5000
Hg  0.5000  0.0000  0.5000
Pb  0.5000  0.5000  0.0000

Output
- Space group: No. 123
- Total magnetic moment: 0.00 μB per cell
- Formation enthalpy at 0 K: -0.329 eV per atom
- E: -56.916 eV per atom

---

No. 10
Density functional theory data (SCAN) for a PBEsol-optimized structure of ScHg2Pb.

Cell: 5.7008 5.7008 5.7008 Å, 135.10 135.10 65.38°
Positions (direct):
Sc  0.0000  0.0000  0.0000
Hg  0.5000  0.5000  0.0000
Hg  0.7500  0.2500  0.5000
Pb  0.2500  0.7500  0.5000

Output
- Space group: No. 119
- Total magnetic moment: 0.00 μB per cell
- Formation enthalpy at 0 K: -0.236 eV per atom
- E: -56.823 eV per atom

---

No. 11
Density functional theory data (SCAN) for a PBEsol-optimized structure of ScHg2Pb.

Cell: 9.5583 9.5583 9.5583 Å, 20.82 20.82 20.82°
Positions (direct):
Sc  0.0000  0.0000  0.0000
Hg  0.2579  0.2579  0.2579
Hg  0.7421  0.7421  0.7421
Pb  0.5000  0.5000  0.5000

Output
- Space group: No. 166
- Total magnetic moment: 0.00 μB per cell
- Formation enthalpy at 0 K: -0.248 eV per atom
- E: -56.836 eV per atom

---

No. 12
Density functional theory data (SCAN) for a PBEsol-optimized structure of ScHg2Pb.

Cell: 6.1629 6.1629 5.2656 Å, 115.08 115.08 31.18°
Positions (direct):
Sc  0.0000  0.0000  0.0000
Hg  0.2706  0.2706  0.7702
Hg  0.7294  0.7294  0.2298
Pb  0.5000  0.5000  0.5000

Output
- Space group: No. 12
- Total magnetic moment: 0.00 μB per cell
- Formation enthalpy at 0 K: -0.297 eV per atom
- E: -56.884 eV per atom

---

The highest total magnetic moment belongs to which entry?
number 3

---

total magnetic moment of number 7 (Sc2Hg2Pb)?
0.00 μB per cell

---

Among the records above, which one has the lowest E?
HgSbPb2

---

total magnetic moment of number 12 (ScHg2Pb)?
0.00 μB per cell